Record 1
Entry from Alexandria: crystalline AcCePaSb at its relaxed geometry (PBE).

abc: 7.874 7.874 7.874
angles: 90.00 90.00 90.00
Space group F-43m (No. 216)
One atom of each set of equivalent atoms:
Ac  0.000  0.000  0.000
Ce  0.000  0.000  0.500
Pa  0.250  0.250  0.750
Sb  0.250  0.250  0.250

Properties
- total moment (Bohr magnetons per cell) = 14.144
- uncorrected formation energy (eV per formula unit) = 0.25

---

Record 2
Entry from Alexandria: crystalline Ac5Ce2Pb5 at its relaxed geometry (PBE).

abc: 16.018 4.760 13.779
angles: 90.00 111.73 90.00
Space group C2/m (No. 12)
One atom of each set of equivalent atoms:
Ac  0.000  0.000  0.000
Ac  0.162  0.000  0.538
Ac  0.226  0.000  0.845
Ce  0.053  0.500  0.293
Pb  0.000  0.500  0.500
Pb  0.111  0.500  0.919
Pb  0.188  0.000  0.285

Properties
- ΔH_f (0 K) (eV per atom) = -0.3317
- total moment (Bohr magnetons per cell) = 6.222

---

Record 3
Entry from Alexandria: crystalline AcCe2Pb3 at its relaxed geometry (PBE).

abc: 3.696 3.696 13.878
angles: 90.00 90.00 90.00
Space group P4/mmm (No. 123)
One atom of each set of equivalent atoms:
Ac  0.000  0.000  0.000
Ce  0.000  0.000  0.339
Pb  0.500  0.500  0.177
Pb  0.500  0.500  0.500

Properties
- ΔH_f (0 K) (eV per atom) = -0.4133
- total moment (Bohr magnetons per cell) = 2.565

---

Record 4
Entry from Alexandria: crystalline Ac12CePb6 at its relaxed geometry (PBE).

abc: 14.6302 14.6302 13.3679
angles: 90.00 90.00 120.00
Space group R-3 (No. 148, hexagonal axes)
One atom of each set of equivalent atoms:
Ac  0.0331  0.2000  0.3891
Ac  0.0581  0.1965  0.8750
Ce  0.0000  0.0000  0.0000
Pb  0.0477  0.4319  0.3079

Properties
- ΔH_f (0 K) (eV per atom) = -0.1126
- total moment (Bohr magnetons per cell) = 3.742

---

Record 5
Entry from Alexandria: crystalline Ac2CePb4 at its relaxed geometry (PBE).

abc: 6.473 6.780 11.350
angles: 90.00 105.62 90.00
Space group P2_1/m (No. 11)
One atom of each set of equivalent atoms:
Ac  0.130  0.250  0.412
Ac  0.341  0.750  0.987
Ce  0.017  0.250  0.801
Pb  0.188  0.250  0.107
Pb  0.328  0.750  0.465
Pb  0.405  0.009  0.719

Properties
- ΔH_f (0 K) (eV per atom) = -0.3246
- total moment (Bohr magnetons per cell) = 2.810

---

Record 6
Entry from Alexandria: crystalline Ac2Ce3Pb4 at its relaxed geometry (PBE).

abc: 8.778 8.770 8.630
angles: 90.00 111.39 90.00
Space group P2_1/c (No. 14)
One atom of each set of equivalent atoms:
Ac  0.193  0.179  0.060
Ce  0.245  0.658  0.236
Ce  0.500  0.000  0.500
Pb  0.089  0.544  0.837
Pb  0.498  0.138  0.865

Properties
- ΔH_f (0 K) (eV per atom) = -0.4785
- total moment (Bohr magnetons per cell) = 5.590